{"formula": "Nd3Tl4Cd2", "functional": "PBE", "state": "optimized geometry", "cell": [[5.868, -2.507, 0.000], [5.868, 2.507, 0.000], [-3.937, 0.000, 8.640]], "species": ["Nd", "Nd", "Nd", "Tl", "Tl", "Tl", "Tl", "Cd", "Cd"], "frac_coords": [[0.000, 0.000, 0.000], [0.330, 0.330, 0.332], [0.670, 0.670, 0.668], [0.090, 0.090, 0.425], [0.315, 0.315, 0.980], [0.685, 0.685, 0.020], [0.910, 0.910, 0.575], [0.399, 0.399, 0.728], [0.601, 0.601, 0.272]], "delta_e_f_mev_per_atom": -312, "space_group": "No. 12"}